Entry 1:
The following is a PBE-GGA calculation of a geometry-optimized V2Ni3Pt structure, from Alexandria via LeMat-Bulk.

a = 3.6486 Å, b = 5.9147 Å, c = 8.2297 Å
α = 116.07°, β = 90.00°, γ = 107.97°
Positions (direct):
1 V 0.5334 0.0667 0.8499
2 V 0.4666 0.9333 0.1501
3 V 0.7962 0.5924 0.1439
4 V 0.2038 0.4076 0.8561
5 Ni 0.2886 0.5772 0.6127
6 Ni 0.9600 0.9201 0.6229
7 Ni 0.6217 0.2435 0.6228
8 Ni 0.3783 0.7565 0.3772
9 Ni 0.0400 0.0799 0.3771
10 Ni 0.7114 0.4228 0.3873
11 Pt 0.8699 0.7398 0.8675
12 Pt 0.1301 0.2602 0.1325

Values from the calculation:
Space group ... C2/m (12)
Total DFT energy (no corrections) ... -85.9 eV for the cell shown
DOS(E_F) ... 14.6 states/eV per cell
Formation enthalpy at 0 K ... -219 meV/atom
Spin magnetization ... 0.0 μB/cell
Relative energy among the computed polymorphs ... 19 meV per atom

=====

Entry 2:
The following is a PBE-GGA calculation of a geometry-optimized BeNb2CrS structure, from Alexandria via LeMat-Bulk.

a = 4.5751 Å, b = 3.5703 Å, c = 4.5751 Å
α = 90.00°, β = 90.00°, γ = 90.00°
Positions (direct):
1 Cr 0.5000 0.5000 0.5000
2 Nb 0.0000 0.0000 0.5000
3 Nb 0.5000 0.0000 0.0000
4 S 0.0000 0.5000 0.0000
5 Be 0.0000 0.0000 0.0000

Values from the calculation:
Space group ... P4/mmm (123)
Total DFT energy (no corrections) ... -33.7 eV for the cell shown
DOS(E_F) ... 3.8 states/eV per cell
Spin magnetization ... 0.0 μB/cell
ΔE_f (raw) ... 0.78 eV/atom

=====

Entry 3:
The following is a PBE-GGA calculation of a geometry-optimized BaCd2AgAu structure, from Alexandria via LeMat-Bulk.

a = 4.7585 Å, b = 4.3963 Å, c = 7.1979 Å
α = 107.78°, β = 109.30°, γ = 90.00°
Positions (direct):
1 Ba 0.4298 0.4298 0.8596
2 Cd 0.6902 0.1902 0.3804
3 Cd 0.0566 0.0566 0.1131
4 Ag 0.2002 0.7002 0.4004
5 Au 0.8354 0.8354 0.6709

Values from the calculation:
Space group ... Imm2 (44)
Total DFT energy (no corrections) ... -11.6 eV for the cell shown
DOS(E_F) ... 1.2 states/eV per cell
Formation enthalpy at 0 K ... -351 meV/atom
Spin magnetization ... 0.0 μB/cell

=====

Entry 4:
The following is a PBE-GGA calculation of a geometry-optimized Nd2MgPdO6 structure, from Alexandria via LeMat-Bulk.

a = 5.5055 Å, b = 5.7454 Å, c = 7.8733 Å
α = 90.00°, β = 90.22°, γ = 90.00°
Positions (direct):
1 Nd 0.0162 0.9384 0.2505
2 Nd 0.5162 0.5616 0.7505
3 Nd 0.9838 0.0616 0.7495
4 Nd 0.4838 0.4384 0.2495
5 Mg 0.5000 0.0000 0.0000
6 Mg 0.0000 0.5000 0.5000
7 Pd 0.5000 0.0000 0.5000
8 Pd 0.0000 0.5000 0.0000
9 O 0.2977 0.7005 0.0509
10 O 0.7977 0.7995 0.5509
11 O 0.7023 0.2995 0.9491
12 O 0.2023 0.2005 0.4491
13 O 0.3036 0.7056 0.4476
14 O 0.8036 0.7944 0.9476
15 O 0.6964 0.2944 0.5524
16 O 0.1964 0.2056 0.0524
17 O 0.9016 0.5310 0.2478
18 O 0.4016 0.9690 0.7478
19 O 0.0984 0.4690 0.7522
20 O 0.5984 0.0310 0.2522

Values from the calculation:
Space group ... P2_1/c (14)
Total DFT energy (no corrections) ... -140.1 eV for the cell shown
Spin magnetization ... 0.0 μB/cell
ΔE_f (raw) ... -2.40 eV/atom

=====

Entry 5:
The following is a PBE-GGA calculation of a geometry-optimized LaHfAu structure, from Alexandria via LeMat-Bulk.

a = 4.7343 Å, b = 6.8498 Å, c = 5.2292 Å
α = 90.18°, β = 63.09°, γ = 90.00°
Positions (direct):
1 Hf 0.1344 0.2197 0.9551
2 Hf 0.4511 0.0441 0.3219
3 Au 0.7876 0.0172 0.6491
4 Au 0.4964 0.4457 0.2323
5 La 0.8122 0.4956 0.6008
6 La 0.1270 0.7542 0.9706

Values from the calculation:
Space group ... Cm (8)
Total DFT energy (no corrections) ... -37.9 eV for the cell shown
DOS(E_F) ... 9.4 states/eV per cell
Formation enthalpy at 0 K ... -258 meV/atom
Spin magnetization ... 0.0 μB/cell
Relative energy among the computed polymorphs ... 147 meV per atom

=====

Entry 6:
The following is a PBE-GGA calculation of a geometry-optimized CdGeRh2 structure, from Alexandria via LeMat-Bulk.

a = 3.1977 Å, b = 4.4136 Å, c = 4.4136 Å
α = 90.00°, β = 90.00°, γ = 90.00°
Positions (direct):
1 Ge 0.5000 0.0000 0.0000
2 Rh 0.0000 0.0000 0.5000
3 Rh 0.0000 0.5000 0.0000
4 Cd 0.5000 0.5000 0.5000

Values from the calculation:
Space group ... P4/mmm (123)
Total DFT energy (no corrections) ... -21.2 eV for the cell shown
DOS(E_F) ... 1.5 states/eV per cell
Formation enthalpy at 0 K ... -230 meV/atom
Spin magnetization ... 0.0 μB/cell

=====

Entry 7:
The following is a PBE-GGA calculation of a geometry-optimized Mg3TaF structure, from Alexandria via LeMat-Bulk.

a = 5.5780 Å, b = 5.5780 Å, c = 5.5780 Å
α = 90.00°, β = 90.00°, γ = 90.00°
Site moments in Bohr magnetons follow the coordinates.
Positions (direct):
1 Mg 0.0000 0.5000 0.0000  0.01
2 Mg 0.0000 0.0000 0.5000  0.00
3 Mg 0.5000 0.0000 0.0000  0.05
4 F 0.5000 0.5000 0.5000  0.06
5 Ta 0.0000 0.0000 0.0000  2.04

Values from the calculation:
Space group ... Pm-3m (221)
Total DFT energy (no corrections) ... -13.7 eV for the cell shown
DOS(E_F) ... 3.8 states/eV per cell
Spin magnetization ... 4.0 μB/cell
ΔE_f (raw) ... 0.96 eV/atom
Relative energy among the computed polymorphs ... 1360 meV per atom

=====

Entry 8:
The following is a PBE-GGA calculation of a geometry-optimized NdDyLuPb structure, from Alexandria via LeMat-Bulk.

a = 5.5141 Å, b = 5.5141 Å, c = 5.5141 Å
α = 60.00°, β = 60.00°, γ = 60.00°
Positions (direct):
1 Pb 0.2500 0.2500 0.2500
2 Lu 0.7500 0.7500 0.7500
3 Nd 0.0000 0.0000 0.0000
4 Dy 0.5000 0.5000 0.5000

Values from the calculation:
Space group ... F-43m (216)
Total DFT energy (no corrections) ... -18.1 eV for the cell shown
DOS(E_F) ... 7.3 states/eV per cell
Formation enthalpy at 0 K ... -124 meV/atom
Spin magnetization ... 0.1 μB/cell

=====

Entry 9:
The following is a PBE-GGA calculation of a geometry-optimized Nd2Dy3Ho structure, from Alexandria via LeMat-Bulk.

a = 5.6107 Å, b = 9.0178 Å, c = 10.0043 Å
α = 123.09°, β = 90.00°, γ = 108.12°
Positions (direct):
1 Nd 0.5073 0.0147 0.8575
2 Nd 0.4927 0.9853 0.1425
3 Nd 0.7684 0.5368 0.1256
4 Nd 0.2316 0.4632 0.8744
5 Dy 0.2899 0.5799 0.5731
6 Dy 0.9539 0.9077 0.6103
7 Dy 0.6137 0.2274 0.6567
8 Dy 0.3863 0.7726 0.3433
9 Dy 0.0461 0.0923 0.3897
10 Dy 0.7101 0.4201 0.4269
11 Ho 0.8681 0.7361 0.8662
12 Ho 0.1319 0.2639 0.1338

Values from the calculation:
Space group ... C2/m (12)
Total DFT energy (no corrections) ... -54.7 eV for the cell shown
DOS(E_F) ... 18.8 states/eV per cell
Formation enthalpy at 0 K ... 98 meV/atom
Spin magnetization ... 0.0 μB/cell
Relative energy among the computed polymorphs ... 0 meV per atom

=====

Entry 10:
The following is a PBE-GGA calculation of a geometry-optimized MnBeRh2 structure, from Alexandria via LeMat-Bulk.

a = 3.5951 Å, b = 2.7585 Å, c = 5.7878 Å
α = 61.67°, β = 90.00°, γ = 90.00°
Site moments in Bohr magnetons follow the coordinates.
Positions (direct):
1 Be 0.0000 0.5166 0.4838  -0.04
2 Mn 0.5000 0.7460 0.7528  2.92
3 Rh 0.0000 0.0247 0.9750  0.01
4 Rh 0.5000 0.2127 0.2884  0.05

Values from the calculation:
Space group ... Pm (6)
Total DFT energy (no corrections) ... -28.3 eV for the cell shown
DOS(E_F) ... 3.0 states/eV per cell
Formation enthalpy at 0 K ... -184 meV/atom
Spin magnetization ... 3.0 μB/cell

=====

Entry 11:
The following is a PBE-GGA calculation of a geometry-optimized ScAl3Cu structure, from Alexandria via LeMat-Bulk.

a = 4.5659 Å, b = 4.5659 Å, c = 4.5659 Å
α = 90.00°, β = 90.00°, γ = 90.00°
Positions (direct):
1 Sc 0.5000 0.5000 0.5000
2 Al 0.0000 0.5000 0.0000
3 Al 0.0000 0.0000 0.5000
4 Al 0.5000 0.0000 0.0000
5 Cu 0.0000 0.0000 0.0000

Values from the calculation:
Space group ... Pm-3m (221)
Total DFT energy (no corrections) ... -21.2 eV for the cell shown
DOS(E_F) ... 2.0 states/eV per cell
Formation enthalpy at 0 K ... 92 meV/atom
Spin magnetization ... 0.0 μB/cell
Relative energy among the computed polymorphs ... 337 meV per atom

=====

Entry 12:
The following is a PBE-GGA calculation of a geometry-optimized Rb2MgZnC structure, from Alexandria via LeMat-Bulk.

a = 6.6639 Å, b = 5.1588 Å, c = 6.6639 Å
α = 90.00°, β = 90.00°, γ = 90.00°
Site moments in Bohr magnetons follow the coordinates.
Positions (direct):
1 C 0.5000 0.5000 0.5000  1.08
2 Zn 0.0000 0.0000 0.0000  -0.06
3 Mg 0.0000 0.5000 0.0000  -0.01
4 Rb 0.0000 0.0000 0.5000  0.00
5 Rb 0.5000 0.0000 0.0000  -0.01

Values from the calculation:
Space group ... P4/mmm (123)
Total DFT energy (no corrections) ... -7.3 eV for the cell shown
DOS(E_F) ... 3.0 states/eV per cell
Formation enthalpy at 0 K ... 1342 meV/atom
Spin magnetization ... 2.1 μB/cell

=====

- What is the total DFT energy (no corrections) in the eighth record?
  -18.1 eV for the cell shown